First-principles (PBE with a Hubbard U) data for crystalline SrZrWO6 at its relaxed geometry, as listed in the Alexandria database.

Output
E = -8.00 eV/atom

```
data_SrZrWO6
_symmetry_space_group_name_H-M 'P -3 1 c'
_symmetry_Int_Tables_number 163
_symmetry_space_group_name_Hall '-P 3 2c'
_cell_length_a 5.4572
_cell_length_b 5.4572
_cell_length_c 10.6485
_cell_angle_alpha 90.00
_cell_angle_beta 90.00
_cell_angle_gamma 120.00
loop_
_atom_site_label
_atom_site_fract_x
_atom_site_fract_y
_atom_site_fract_z
_atom_site_occupancy
Sr1 0.0000 0.0000 0.0000 1
Zr1 0.3333 0.6667 0.2500 1
W1 0.3333 0.6667 0.7500 1
O1 0.0220 0.3867 0.6465 1
```